1.
A plane-wave DFT calculation with PBE-GGA was carried out for a geometry-optimized Be2PI structure.

- SG = Fm-3m
- E_tot (Ry/atom) = -0.1872
- V (Å³ per atom) = 15.9
- magnetization (μB per formula unit) = 0.00

```
Be2PI
1.0
0.000 3.171 3.171
3.171 0.000 3.171
3.171 3.171 0.000
Be P I
2 1 1
direct
0.250 0.250 0.250
0.750 0.750 0.750
0.000 0.000 0.000
0.500 0.500 0.500
```


2.
A plane-wave DFT calculation with PBE-GGA was carried out for a geometry-optimized SiMoBr2 structure.

- SG = P4mm
- E_tot (Ry/atom) = -0.3613
- V (Å³ per atom) = 26.2
- magnetization (μB per formula unit) = 0.50

```
SiMoBr2
1.0
3.449 0.000 0.000
0.000 3.449 0.000
0.000 0.000 8.822
Si Mo Br
1 1 2
direct
0.000 0.000 0.000
0.500 0.500 0.077
0.000 0.000 0.741
0.500 0.500 0.348
```


3.
A plane-wave DFT calculation with PBE-GGA was carried out for a geometry-optimized CeSmThHg structure.

- SG = F-43m
- E_tot (Ry/atom) = -0.3357
- V (Å³ per atom) = 27.8
- magnetization (μB per formula unit) = 0.41
- ΔH_f (0 K) (eV/atom) = 0.0266

```
CeSmThHg
1.0
0.000 3.817 3.817
3.817 0.000 3.817
3.817 3.817 0.000
Ce Sm Th Hg
1 1 1 1
direct
0.000 0.000 0.000
0.750 0.750 0.750
0.250 0.250 0.250
0.500 0.500 0.500
```


4.
A plane-wave DFT calculation with PBE-GGA was carried out for a geometry-optimized SrZrPt2 structure.

- SG = I-42d
- E_tot (Ry/atom) = -0.4418
- V (Å³ per atom) = 25.8
- magnetization (μB per formula unit) = 0.00
- ΔH_f (0 K) (eV/atom) = -0.4330

```
SrZrPt2
1.0
-3.810 3.810 3.562
3.810 -3.810 3.562
3.810 3.810 -3.562
Sr Zr Pt
2 2 4
direct
0.000 0.000 0.000
0.750 0.250 0.500
0.250 0.750 0.500
0.500 0.500 0.000
0.176 0.625 0.051
0.375 0.426 0.551
0.574 0.125 0.949
0.875 0.824 0.449
```


5.
A plane-wave DFT calculation with PBE-GGA was carried out for a geometry-optimized NdPuNiRh structure.

- SG = F-43m
- E_tot (Ry/atom) = -0.6142
- V (Å³ per atom) = 20.8
- magnetization (μB per formula unit) = 5.38
- ΔH_f (0 K) (eV/atom) = -0.2983

```
NdPuNiRh
1.0
0.000 3.465 3.465
3.465 0.000 3.465
3.465 3.465 0.000
Nd Pu Ni Rh
1 1 1 1
direct
0.000 0.000 0.000
0.500 0.500 0.500
0.750 0.750 0.750
0.250 0.250 0.250
```


6.
A plane-wave DFT calculation with PBE-GGA was carried out for a geometry-optimized Ba2SrLa2Hg5 structure.

- SG = P4/mbm
- E_tot (Ry/atom) = -0.1525
- V (Å³ per atom) = 34.8
- magnetization (μB per formula unit) = 0.00
- ΔH_f (0 K) (eV/atom) = -0.3851

```
Ba2SrLa2Hg5
1.0
12.620 0.000 0.000
0.000 12.620 0.000
0.000 0.000 4.374
Ba Sr La Hg
4 2 4 10
direct
0.173 0.327 0.000
0.327 0.827 0.000
0.673 0.173 0.000
0.827 0.673 0.000
0.000 0.000 0.000
0.500 0.500 0.000
0.128 0.628 0.000
0.372 0.128 0.000
0.628 0.872 0.000
0.872 0.372 0.000
0.000 0.500 0.500
0.082 0.812 0.500
0.188 0.082 0.500
0.312 0.582 0.500
0.418 0.312 0.500
0.500 0.000 0.500
0.582 0.688 0.500
0.688 0.418 0.500
0.812 0.918 0.500
0.918 0.188 0.500
```


7.
A plane-wave DFT calculation with PBE-GGA was carried out for a geometry-optimized Ba3Ta structure.

- SG = Pmmn
- E_tot (Ry/atom) = -0.2544
- V (Å³ per atom) = 42.4
- magnetization (μB per formula unit) = 3.21
- ΔH_f (0 K) (eV/atom) = 0.9445

```
Ba3Ta
1.0
6.255 0.000 0.000
0.000 7.860 0.000
0.000 0.000 6.892
Ba Ta
6 2
direct
0.250 0.003 0.172
0.250 0.497 0.172
0.250 0.750 0.632
0.750 0.250 0.368
0.750 0.503 0.828
0.750 0.997 0.828
0.250 0.250 0.686
0.750 0.750 0.314
```


8.
A plane-wave DFT calculation with PBE-GGA was carried out for a geometry-optimized GaTc8B2 structure.

- SG = C2/m
- E_tot (Ry/atom) = -0.6690
- V (Å³ per atom) = 13.3
- magnetization (μB per formula unit) = 0.00
- ΔH_f (0 K) (eV/atom) = -0.0740

```
GaTc8B2
1.0
3.361 -5.076 0.000
3.361 5.076 0.000
-1.241 0.000 4.283
Ga Tc B
1 8 2
direct
0.000 0.000 0.000
0.078 0.334 0.607
0.251 0.749 0.000
0.334 0.078 0.607
0.397 0.397 0.195
0.603 0.603 0.805
0.666 0.922 0.393
0.749 0.251 0.000
0.922 0.666 0.393
0.313 0.687 0.500
0.687 0.313 0.500
```